{"formula": "La2Zn9Ni3", "functional": "PBE-GGA", "state": "optimized geometry", "cell": [[-5.5610, 1.5068, -5.0752], [0.0096, -6.3469, 4.3208], [-1.2949, 5.8207, 8.5131]], "species": ["La", "La", "La", "La", "Zn", "Zn", "Zn", "Zn", "Zn", "Zn", "Zn", "Zn", "Zn", "Zn", "Zn", "Zn", "Zn", "Zn", "Zn", "Zn", "Zn", "Zn", "Ni", "Ni", "Ni", "Ni", "Ni", "Ni"], "fractional_positions": [[0.3489, 0.2524, 0.7609], [0.9915, 0.5880, 0.7391], [0.0085, 0.4120, 0.2609], [0.6511, 0.7476, 0.2391], [0.2441, 0.5400, 0.5822], [0.8013, 0.3017, 0.9371], [0.5422, 0.3381, 0.0822], [0.4815, 0.8292, 0.4670], [0.1987, 0.6983, 0.0629], [0.5185, 0.1708, 0.5330], [0.8622, 0.0145, 0.0330], [0.7559, 0.4600, 0.4178], [0.1098, 0.8598, 0.2500], [0.4697, 0.9301, 0.7413], [0.6888, 0.7284, 0.7587], [0.5303, 0.0699, 0.2587], [0.4578, 0.6619, 0.9178], [0.1354, 0.1358, 0.4371], [0.8646, 0.8642, 0.5629], [0.3112, 0.2716, 0.2413], [0.8902, 0.1402, 0.7500], [0.1378, 0.9855, 0.9670], [0.1896, 0.3627, 0.0032], [0.8595, 0.1864, 0.4968], [0.5000, 0.0000, 0.0000], [0.8104, 0.6373, 0.9968], [0.5000, 0.5000, 0.5000], [0.1405, 0.8136, 0.5032]], "energy_ev_per_atom": -3.037, "mass_density_g_cm3": 7.3, "crystal_system": "monoclinic", "formation_energy_ev_per_fu": -3.86, "spacegroup": "No. 15"}